DFT (PBE+U) results for a relaxed RbV4Ag3O12 crystal.

Unit cell a=7.491 b=7.491 c=7.491 alpha=111.05 beta=111.05 gamma=111.05
Site moments in Bohr magnetons follow the coordinates.
Element x y z (fractional)
Rb (0.000, 0.000, 0.000)  0.01
O (0.500, 0.059, 0.941)  -0.02
O (0.651, 0.791, 0.119)  -0.02
O (0.209, 0.349, 0.881)  -0.02
O (0.941, 0.500, 0.059)  -0.02
V (0.500, 0.921, 0.079)  0.00
O (0.119, 0.651, 0.791)  -0.02
O (0.349, 0.881, 0.209)  -0.02
V (0.500, 0.500, 0.500)  0.77
O (0.361, 0.639, 0.500)  -0.12
Ag (0.425, 0.000, 0.575)  -0.12
O (0.500, 0.361, 0.639)  -0.12
O (0.881, 0.209, 0.349)  -0.02
Ag (0.575, 0.425, 0.000)  -0.12
O (0.059, 0.941, 0.500)  -0.02
O (0.791, 0.119, 0.651)  -0.02
V (0.079, 0.500, 0.921)  0.00
O (0.639, 0.500, 0.361)  -0.12
V (0.921, 0.079, 0.500)  0.00
Ag (0.000, 0.575, 0.425)  -0.12

Properties
* space group: No. 155
* E_tot: -6.06 eV/atom